The following is a GGA-PBE calculation of crystalline BaSr2PbCl8 at its relaxed geometry, from Alexandria.

The formation energy (no corrections) comes out at -2.1662 eV per atom. The value obtained for the magnetic moment is 0.0000 μB per atom. The electronic total energy comes out at -49.76 eV/cell. The crystal system is orthorhombic. For the density, the calculation gives 3.67 g/cm3. As for the density of states at the Fermi level: 0.00 states/eV/atom.

It has space group Pmmm (No. 47), with a = 5.0669 Å, b = 7.1478 Å, c = 10.0365 Å, α = 90.00°, β = 90.00° and γ = 90.00°. The distinct sites, in fractional coordinates, are Ba at (0.0000, 0.0000, 0.0000), Sr at (0.5000, 0.5000, 0.2552), Pb at (0.0000, 0.0000, 0.5000), Cl at (0.0000, 0.2563, 0.2589), Cl at (0.5000, 0.2473, 0.5000) and Cl at (0.5000, 0.2619, 0.0000).